A relaxed PmBe4Ir3 crystal, computed with PBE.

Results
calculated formation energy = -0.414 eV per atom

Unit cell a=4.138 b=4.138 c=6.106 alpha=90.00 beta=90.00 gamma=90.00
Atoms (fractional coordinates):
Pm  0.000  0.000  0.000
Be  0.000  0.500  0.311
Be  0.000  0.500  0.689
Be  0.500  0.000  0.311
Be  0.500  0.000  0.689
Ir  0.000  0.000  0.500
Ir  0.500  0.500  0.000
Ir  0.500  0.500  0.500

A relaxed Hf6TeC crystal, computed with PBE.

Results
uncorrected formation energy = -1.2 eV/f.u.

Unit cell a=6.850 b=6.850 c=6.850 alpha=50.80 beta=50.80 gamma=50.80
Atoms (fractional coordinates):
Hf  0.035  0.402  0.764
Hf  0.236  0.965  0.598
Hf  0.402  0.764  0.035
Hf  0.598  0.236  0.965
Hf  0.764  0.035  0.402
Hf  0.965  0.598  0.236
Te  0.500  0.500  0.500
C  0.000  0.000  0.000

A relaxed LaPPt2 crystal, computed with PBE.

Results
calculated formation energy = -0.594 eV per atom

Unit cell a=5.462 b=5.462 c=5.462 alpha=135.80 beta=135.80 gamma=64.30
Atoms (fractional coordinates):
La  0.000  0.000  0.000
P  0.500  0.500  0.000
Pt  0.250  0.750  0.500
Pt  0.750  0.250  0.500

A relaxed BaHWN2 crystal, computed with PBE.

Results
E = -7.45 eV per atom

Unit cell a=4.066 b=4.066 c=4.127 alpha=90.00 beta=90.00 gamma=90.00
Atoms (fractional coordinates):
Ba  0.000  0.000  0.000
H  0.500  0.500  0.000
W  0.500  0.500  0.500
N  0.000  0.500  0.500
N  0.500  0.000  0.500

A relaxed Sc2Hg crystal, computed with PBE.

Results
calculated formation energy = -0.173 eV per atom

Unit cell a=3.366 b=3.366 c=7.289 alpha=90.00 beta=90.00 gamma=120.00
Atoms (fractional coordinates):
Sc  0.333  0.667  0.323
Sc  0.667  0.333  0.677
Hg  0.000  0.000  0.000

A relaxed Ta2TcIr crystal, computed with PBE.

Results
calculated formation energy = -0.414 eV per atom

Unit cell a=3.209 b=3.307 c=6.157 alpha=90.00 beta=90.00 gamma=90.00
Atoms (fractional coordinates):
Ta  0.000  0.000  0.248
Ta  0.000  0.000  0.752
Tc  0.500  0.500  0.000
Ir  0.500  0.500  0.500

A relaxed LiAlPb2 crystal, computed with PBE.

Results
calculated formation energy = 0.010 eV per atom

Unit cell a=3.477 b=3.477 c=8.073 alpha=90.00 beta=90.00 gamma=90.00
Atoms (fractional coordinates):
Li  0.000  0.000  0.000
Al  0.500  0.500  0.828
Pb  0.000  0.000  0.582
Pb  0.500  0.500  0.219

A relaxed CuSbCl4 crystal, computed with PBE.

Results
uncorrected formation energy = 4.4 eV/f.u.
ΔE to the lowest computed polymorph = 1405.7 meV per atom

Unit cell a=5.811 b=5.811 c=5.811 alpha=60.00 beta=60.00 gamma=60.00
Atoms (fractional coordinates):
Cu  0.000  0.000  0.000
Sb  0.750  0.750  0.750
Cl  0.374  0.374  0.374
Cl  0.374  0.374  0.878
Cl  0.374  0.878  0.374
Cl  0.878  0.374  0.374

| no. | ρ (g/cm³) |
| --- | --- |
| 1 | 12.031 |
| 2 | 11.292 |
| 3 | 11.902 |
| 4 | 8.521 |
| 5 | 6.746 |
| 6 | 16.576 |
| 7 | 7.627 |
| 8 | 3.916 |